This record from Alexandria via LeMat-Bulk describes AcGa4Pd2 after structural relaxation. The functional is PBE-GGA.

POSCAR file:
```
AcGa4Pd2
1.0
17.638 0.000 0.000
0.000 4.371 0.000
0.000 0.000 7.164
Ac Ga Pd
4 16 8
Cartesian
2.114 1.093 0.109
6.705 3.279 3.691
10.933 1.093 3.474
15.524 3.279 7.056
0.732 3.279 5.221
1.619 1.093 3.569
3.306 3.279 2.474
3.513 3.279 5.215
5.306 1.093 1.633
5.513 1.093 6.057
7.200 3.279 7.151
8.087 1.093 1.639
9.551 3.279 5.526
10.438 1.093 0.013
12.125 3.279 1.108
12.331 3.279 5.532
14.125 1.093 1.949
14.331 1.093 4.690
16.019 3.279 3.596
16.905 1.093 1.944
0.648 3.279 2.346
4.100 1.093 3.898
4.719 3.279 0.316
8.171 1.093 5.928
9.467 3.279 1.237
12.919 1.093 6.848
13.538 3.279 3.266
16.989 1.093 4.819
```

## Properties
ρ ... 8.64 Mg/m³
Energy above the most stable polymorph in this dataset ... 0.000 eV per atom
Energy relative to the elements ... -0.679 eV/atom
Raw total energy ... -4.48 eV/atom


This record from Alexandria via LeMat-Bulk describes AcGa4Pd3 after structural relaxation. The functional is PBE-GGA.

POSCAR file:
```
AcGa4Pd3
1.0
4.381 0.000 0.000
0.000 4.381 0.000
0.000 0.000 8.323
Ac Ga Pd
1 4 3
Cartesian
0.000 0.000 0.000
0.000 2.191 2.751
0.000 2.191 5.572
2.191 0.000 2.751
2.191 0.000 5.572
0.000 0.000 4.162
2.191 2.191 1.380
2.191 2.191 6.944
```

## Properties
ρ ... 8.58 Mg/m³
Energy relative to the elements ... -0.655 eV/atom
Raw total energy ... -4.63 eV/atom